Arrangement A

Density functional theory data (PBE) for BeAl2B after structural relaxation.

Lattice parameters (Å, degrees): 3.4349 6.3699 9.9012 106.05 90.00 105.48
Element x y z (fractional)
Be 0.0000 0.0000 0.0000
Be 0.1363 0.2736 0.1868
Be 0.5046 0.0117 0.1267
Be 0.6789 0.3612 0.0598
Al 0.1144 0.2304 0.8632
Al 0.2475 0.4962 0.4535
Al 0.3325 0.6699 0.9487
Al 0.3422 0.6859 0.2237
Al 0.5710 0.1417 0.3670
Al 0.5935 0.1884 0.6419
Al 0.8763 0.7553 0.7485
Al 0.9206 0.8429 0.4915
B 0.0949 0.1903 0.5047
B 0.4006 0.8033 0.6226
B 0.7198 0.4417 0.8581
B 0.7433 0.4864 0.2855

Values from the calculation:
density	2.45	g cm⁻³
DOS at the Fermi energy	0.191	states/eV per atom



Arrangement B

Density functional theory data (PBE) for BeAl2B after structural relaxation.

Lattice parameters (Å, degrees): 5.1950 3.5304 11.2681 90.00 103.21 90.00
Element x y z (fractional)
Be 0.0000 0.0000 0.0000
Be 0.0470 0.5000 0.1468
Be 0.2569 0.5000 0.0141
Be 0.5197 0.0000 0.0019
Al 0.2376 0.0000 0.2907
Al 0.2581 0.5000 0.4841
Al 0.4047 0.0000 0.6686
Al 0.4412 0.5000 0.8499
Al 0.5855 0.5000 0.1798
Al 0.7625 0.0000 0.3661
Al 0.8808 0.0000 0.6138
Al 0.9315 0.5000 0.8271
B 0.1342 0.5000 0.6725
B 0.5005 0.0000 0.4918
B 0.6902 0.0000 0.8516
B 0.9670 0.5000 0.3060

Values from the calculation:
density	2.44	g cm⁻³
DOS at the Fermi energy	0.177	states/eV per atom



Arrangement C

Density functional theory data (PBE) for BeAl2B after structural relaxation.

Lattice parameters (Å, degrees): 3.4683 5.6412 10.3099 78.12 89.99 89.97
Element x y z (fractional)
Be 0.0000 0.0000 0.0000
Be 0.0021 0.6022 0.9734
Be 0.4974 0.2243 0.0367
Be 0.5010 0.7806 0.0881
Al 0.0021 0.0385 0.6183
Al 0.0021 0.3156 0.8064
Al 0.0020 0.9448 0.2274
Al 0.0025 0.4634 0.2205
Al 0.5021 0.3603 0.4456
Al 0.5021 0.6256 0.6637
Al 0.5023 0.8924 0.4289
Al 0.5017 0.9056 0.8438
B 0.0022 0.1427 0.3943
B 0.0020 0.7062 0.7792
B 0.5021 0.2417 0.6773
B 0.5022 0.6753 0.2794

Values from the calculation:
density	2.48	g cm⁻³
DOS at the Fermi energy	0.218	states/eV per atom



Energy relative to the most stable one, in eV/atom: arrangement A 0.066; arrangement B 0.000; arrangement C 0.008



Arrangement A

Density functional theory data (PBE) for BeAl2B after structural relaxation.

Lattice parameters (Å, degrees): 11.2110 11.2110 5.2456 92.21 92.21 17.85
Element x y z (fractional)
Be 0.0181 0.0181 0.1816
Be 0.4578 0.4578 0.0885
Be 0.5422 0.5422 0.9115
Be 0.9819 0.9819 0.8184
Al 0.0749 0.0749 0.5767
Al 0.1174 0.1174 0.0609
Al 0.2935 0.2935 0.0038
Al 0.3027 0.3027 0.5015
Al 0.6973 0.6973 0.4985
Al 0.7065 0.7065 0.9962
Al 0.8826 0.8826 0.9391
Al 0.9251 0.9251 0.4233
B 0.2120 0.2120 0.2460
B 0.3766 0.3766 0.2319
B 0.6234 0.6234 0.7681
B 0.7880 0.7880 0.7540

Values from the calculation:
density	2.43	g cm⁻³
DOS at the Fermi energy	0.091	states/eV per atom



Arrangement B

Density functional theory data (PBE) for BeAl2B after structural relaxation.

Lattice parameters (Å, degrees): 5.5406 3.4754 10.3292 90.00 100.37 90.00
Element x y z (fractional)
Be 0.1432 0.2500 0.0368
Be 0.2206 0.7500 0.9257
Be 0.7794 0.2500 0.0743
Be 0.8568 0.7500 0.9632
Al 0.0074 0.7500 0.2035
Al 0.0265 0.7500 0.5942
Al 0.4605 0.2500 0.3883
Al 0.4943 0.2500 0.8632
Al 0.5057 0.7500 0.1368
Al 0.5395 0.7500 0.6117
Al 0.9735 0.2500 0.4058
Al 0.9926 0.2500 0.7965
B 0.2202 0.7500 0.4150
B 0.3127 0.7500 0.7597
B 0.6873 0.2500 0.2403
B 0.7798 0.2500 0.5850

Values from the calculation:
density	2.51	g cm⁻³
DOS at the Fermi energy	0.146	states/eV per atom



Energy relative to the most stable one, in eV/atom: arrangement A 0.000; arrangement B 0.025



Arrangement A

Density functional theory data (PBE) for BeAl2B after structural relaxation.

Lattice parameters (Å, degrees): 3.5732 3.5732 17.6411 90.00 90.00 120.00
Element x y z (fractional)
Be 0.0000 0.0000 0.0000
Be 0.0000 0.0000 0.1104
Be 0.3333 0.6667 0.0574
Be 0.6667 0.3333 0.0469
Al 0.0000 0.0000 0.3023
Al 0.0000 0.0000 0.6041
Al 0.0000 0.0000 0.8132
Al 0.3333 0.6667 0.2014
Al 0.3333 0.6667 0.5071
Al 0.3333 0.6667 0.9130
Al 0.6667 0.3333 0.4061
Al 0.6667 0.3333 0.7040
B 0.0000 0.0000 0.4613
B 0.3333 0.6667 0.6374
B 0.6667 0.3333 0.2792
B 0.6667 0.3333 0.8304

Values from the calculation:
density	2.51	g cm⁻³
DOS at the Fermi energy	0.104	states/eV per atom



Arrangement B

Density functional theory data (PBE) for BeAl2B after structural relaxation.

Lattice parameters (Å, degrees): 3.4383 5.7331 10.0878 88.95 89.95 89.99
Element x y z (fractional)
Be 0.0000 0.0000 0.0000
Be 0.0006 0.3778 0.9297
Be 0.5006 0.1535 0.8994
Be 0.5011 0.7588 0.8795
Al 0.0010 0.0062 0.7469
Al 0.0020 0.6642 0.5533
Al 0.4987 0.8506 0.3084
Al 0.4995 0.2104 0.1263
Al 0.5011 0.0588 0.5352
Al 0.5010 0.4095 0.7099
Al 0.9994 0.2992 0.3462
Al 0.9995 0.6284 0.1405
B 0.0009 0.2853 0.5767
B 0.4994 0.4941 0.2573
B 0.5014 0.7798 0.6854
B 0.9993 0.9956 0.1947

Values from the calculation:
density	2.47	g cm⁻³
DOS at the Fermi energy	0.328	states/eV per atom



Energy relative to the most stable one, in eV/atom: arrangement A 0.000; arrangement B 0.061



Arrangement A

Density functional theory data (PBE) for AlBiB3 after structural relaxation.

Lattice parameters (Å, degrees): 4.7118 4.7118 4.7118 90.00 90.00 90.00
Element x y z (fractional)
Al 0.0000 0.0000 0.0000
Bi 0.5000 0.5000 0.5000
B 0.0000 0.5000 0.5000
B 0.5000 0.0000 0.5000
B 0.5000 0.5000 0.0000

Values from the calculation:
density	4.26	g cm⁻³
DOS at the Fermi energy	0.685	states/eV per atom



Arrangement B

Density functional theory data (PBE) for AlBiB3 after structural relaxation.

Lattice parameters (Å, degrees): 4.2680 4.2680 4.2680 90.00 90.00 90.00
Element x y z (fractional)
Al 0.0000 0.0000 0.0000
Bi 0.5000 0.5000 0.5000
B 0.0000 0.0000 0.5000
B 0.0000 0.5000 0.0000
B 0.5000 0.0000 0.0000

Values from the calculation:
density	5.73	g cm⁻³
DOS at the Fermi energy	0.603	states/eV per atom



Energy relative to the most stable one, in eV/atom: arrangement A 0.878; arrangement B 0.000



Arrangement A

Density functional theory data (PBE) for Al3BiB after structural relaxation.

Lattice parameters (Å, degrees): 4.4611 4.4611 4.4611 90.00 90.00 90.00
Element x y z (fractional)
Al 0.0000 0.0000 0.5000
Al 0.0000 0.5000 0.0000
Al 0.5000 0.0000 0.0000
Bi 0.5000 0.5000 0.5000
B 0.0000 0.0000 0.0000

Values from the calculation:
density	5.62	g cm⁻³
DOS at the Fermi energy	0.344	states/eV per atom



Arrangement B

Density functional theory data (PBE) for Al3BiB after structural relaxation.

Lattice parameters (Å, degrees): 5.5224 5.5224 5.5224 90.00 90.00 90.00
Element x y z (fractional)
Al 0.0000 0.0000 0.5000
Al 0.0000 0.5000 0.0000
Al 0.5000 0.0000 0.0000
Bi 0.0000 0.0000 0.0000
B 0.5000 0.5000 0.5000

Values from the calculation:
density	2.97	g cm⁻³
DOS at the Fermi energy	1.013	states/eV per atom



Energy relative to the most stable one, in eV/atom: arrangement A 0.000; arrangement B 1.683



Arrangement A

Density functional theory data (PBE) for Al2BBr after structural relaxation.

Lattice parameters (Å, degrees): 6.5680 6.5680 6.5680 129.58 129.58 74.08
Element x y z (fractional)
Al 0.0037 0.6250 0.8787
Al 0.3750 0.2537 0.3787
Al 0.7463 0.1250 0.1213
Al 0.8750 0.9963 0.6213
B 0.0000 0.0000 0.0000
B 0.7500 0.2500 0.5000
Br 0.2500 0.7500 0.5000
Br 0.5000 0.5000 0.0000

Values from the calculation:
density	2.93	g cm⁻³
DOS at the Fermi energy	0.000	states/eV per atom



Arrangement B

Density functional theory data (PBE) for Al2BBr after structural relaxation.

Lattice parameters (Å, degrees): 4.5195 4.5195 4.5195 60.00 60.00 60.00
Element x y z (fractional)
Al 0.2500 0.2500 0.2500
Al 0.7500 0.7500 0.7500
B 0.0000 0.0000 0.0000
Br 0.5000 0.5000 0.5000

Values from the calculation:
density	3.68	g cm⁻³
DOS at the Fermi energy	0.400	states/eV per atom



Energy relative to the most stable one, in eV/atom: arrangement A 0.000; arrangement B 1.048



Arrangement A

Density functional theory data (PBE) for AlB3Br after structural relaxation.

Lattice parameters (Å, degrees): 4.1460 4.1460 4.1460 90.00 90.00 90.00
Element x y z (fractional)
Al 0.0000 0.0000 0.0000
B 0.0000 0.5000 0.5000
B 0.5000 0.0000 0.5000
B 0.5000 0.5000 0.0000
Br 0.5000 0.5000 0.5000

Values from the calculation:
density	3.25	g cm⁻³
DOS at the Fermi energy	0.567	states/eV per atom



Arrangement B

Density functional theory data (PBE) for AlB3Br after structural relaxation.

Lattice parameters (Å, degrees): 4.3449 4.3449 4.3449 90.00 90.00 90.00
Element x y z (fractional)
Al 0.0000 0.0000 0.0000
B 0.0000 0.0000 0.5000
B 0.0000 0.5000 0.0000
B 0.5000 0.0000 0.0000
Br 0.5000 0.5000 0.5000

Values from the calculation:
density	2.82	g cm⁻³
DOS at the Fermi energy	0.673	states/eV per atom



Energy relative to the most stable one, in eV/atom: arrangement A 0.671; arrangement B 0.000



Arrangement A

Density functional theory data (PBE) for Al3BBr after structural relaxation.

Lattice parameters (Å, degrees): 4.4751 4.4751 4.4751 90.00 90.00 90.00
Element x y z (fractional)
Al 0.0000 0.0000 0.5000
Al 0.0000 0.5000 0.0000
Al 0.5000 0.0000 0.0000
B 0.0000 0.0000 0.0000
Br 0.5000 0.5000 0.5000

Values from the calculation:
density	3.18	g cm⁻³
DOS at the Fermi energy	0.436	states/eV per atom



Arrangement B

Density functional theory data (PBE) for Al3BBr after structural relaxation.

Lattice parameters (Å, degrees): 5.3423 5.3423 5.3423 90.00 90.00 90.00
Element x y z (fractional)
Al 0.0000 0.0000 0.5000
Al 0.0000 0.5000 0.0000
Al 0.5000 0.0000 0.0000
B 0.5000 0.5000 0.5000
Br 0.0000 0.0000 0.0000

Values from the calculation:
density	1.87	g cm⁻³
DOS at the Fermi energy	0.982	states/eV per atom



Energy relative to the most stable one, in eV/atom: arrangement A 0.000; arrangement B 1.419